No. 1
The following is a PBE calculation of a geometry-optimized ZnPb structure, from the Alexandria database.

**Energy of formation from the pure elements**: 0.480 eV per atom
**Crystal system**: cubic
**V**: 39.983 Å³ per atom

abc: 7.8286 7.8286 7.8286
angles: 90.00 90.00 90.00
Space group Pm-3n (No. 223)
Inequivalent atoms, fractional coordinates:
Zn1 0.0000 0.2500 0.5000 [6 per cell]
Pb1 0.0000 0.5000 0.2500 [6 per cell]

No. 2
The following is a PBE calculation of a geometry-optimized ZnPb3 structure, from the Alexandria database.

**Energy of formation from the pure elements**: 0.138 eV per atom
**Crystal system**: orthorhombic
**V**: 28.839 Å³ per atom

abc: 3.5893 5.0779 6.3291
angles: 90.00 90.00 90.00
Space group Pmm2 (No. 25)
Inequivalent atoms, fractional coordinates:
Zn1 0.0000 0.0000 0.0000 [1 per cell]
Pb1 0.0000 0.5000 0.6853 [1 per cell]
Pb2 0.5000 0.0000 0.4654 [1 per cell]
Pb3 0.5000 0.5000 0.1296 [1 per cell]

No. 3
The following is a PBE calculation of a geometry-optimized ZnPb3 structure, from the Alexandria database.

**Energy of formation from the pure elements**: 0.127 eV per atom
**Crystal system**: hexagonal
**V**: 28.425 Å³ per atom

abc: 7.0098 7.0098 5.3437
angles: 90.00 90.00 120.00
Space group P6_3/mmc (No. 194)
Inequivalent atoms, fractional coordinates:
Zn1 0.3333 0.6667 0.2500 [2 per cell]
Pb1 0.1723 0.3446 0.7500 [6 per cell]